A relaxed structure of VRuO2, computed with PBE with a Hubbard U.

The structure in CIF format:
```
data_VRuO2
_chemical_formula_sum 'V3 Ru3 O6'
_space_group_name_H-M_alt 'R -3 m'
_space_group_IT_number 166
_space_group_name_Hall '-R 3 2"'
_cell_length_a 3.3966
_cell_length_b 3.3966
_cell_length_c 15.7339
_cell_angle_alpha 90.00
_cell_angle_beta 90.00
_cell_angle_gamma 120.00
loop_
_atom_site_label
_atom_site_fract_x
_atom_site_fract_y
_atom_site_fract_z
V1 0.0000 0.0000 0.0000
Ru1 0.0000 0.0000 0.5000
O1 0.0000 0.0000 0.1199
```

- total DFT energy (no corrections) (eV/atom) = -7.21
- polymorph energy (0 for the lowest one) (meV per atom) = 537.1